Compound: BaMg6FeO8
Source: Alexandria
Functional: GGA+U
Structure: relaxed

Calculated values
* SG: P4/mmm
* V: 12.01 Å³ per atom
* offset from the most stable computed form: 0.0000 eV/atom
* E_tot: -91.34 eV per formula unit

Cell lengths 4.673, 4.673, 8.800 Å; angles 90.00, 90.00, 90.00 degrees
Each line ends with the local moment (μB).
Fractional positions:
Mg (0.000, 0.500, 0.265)  0.00
O (0.500, 0.500, 0.283)  0.00
Mg (0.000, 0.500, 0.735)  0.00
O (0.500, 0.500, 0.717)  0.00
Ba (0.500, 0.500, 0.000)  0.00
Mg (0.500, 0.500, 0.500)  0.00
O (0.000, 0.500, 0.000)  0.05
Mg (0.500, 0.000, 0.735)  0.00
O (0.000, 0.000, 0.254)  0.03
Mg (0.000, 0.000, 0.500)  0.00
O (0.000, 0.500, 0.500)  0.00
O (0.000, 0.000, 0.746)  0.03
Fe (0.000, 0.000, 0.000)  3.77
O (0.500, 0.000, 0.500)  0.00
O (0.500, 0.000, 0.000)  0.05
Mg (0.500, 0.000, 0.265)  0.00